# 1
First-principles (PBE) data for a geometry-optimized SbSeBr2 structure, as listed in Alexandria via LeMat-Bulk.

abc: 3.734 5.755 4.712
angles: 90.00 90.00 90.00
Sites, in units of the cell vectors:
Se: 0.000 0.500 0.500
Sb: 0.500 0.000 0.500
Br: 0.000 0.000 0.000
Br: 0.500 0.500 0.000

## Properties
Total magnetization: 0.00 μB per cell
Energy relative to the lowest polymorph listed for this composition: 497 meV/atom
SG: No. 47
VASP energy: -9.956 eV for the cell shown

***

# 2
First-principles (PBE) data for a geometry-optimized SbSe2Br structure, as listed in Alexandria via LeMat-Bulk.

abc: 3.768 3.768 7.932
angles: 90.00 90.00 90.00
Sites, in units of the cell vectors:
Se: 0.000 0.000 0.045
Se: 0.500 0.500 0.126
Br: 0.000 0.000 0.544
Sb: 0.500 0.500 0.786

## Properties
Total magnetization: 0.00 μB per cell
Energy relative to the lowest polymorph listed for this composition: 324 meV/atom
SG: No. 99
VASP energy: -12.387 eV for the cell shown

***

# 3
First-principles (PBE) data for a geometry-optimized SbSe2Br structure, as listed in Alexandria via LeMat-Bulk.

abc: 5.592 5.592 7.610
angles: 69.47 69.47 42.00
Sites, in units of the cell vectors:
Br: 0.592 0.592 0.453
Se: 0.937 0.937 0.984
Se: 0.738 0.738 0.896
Sb: 0.234 0.234 0.167

## Properties
Total magnetization: 0.00 μB per cell
Energy relative to the lowest polymorph listed for this composition: 63 meV/atom
SG: No. 8
VASP energy: -13.430 eV for the cell shown

***

# 4
First-principles (PBE) data for a geometry-optimized SbSeBr2 structure, as listed in Alexandria via LeMat-Bulk.

abc: 3.356 3.356 10.125
angles: 90.00 90.00 90.00
Sites, in units of the cell vectors:
Br: 0.000 0.000 0.442
Br: 0.000 0.000 0.058
Sb: 0.500 0.500 0.250
Se: 0.500 0.500 0.750

## Properties
Total magnetization: 0.00 μB per cell
Energy relative to the lowest polymorph listed for this composition: 570 meV/atom
SG: No. 123
VASP energy: -9.664 eV for the cell shown

***

# 5
First-principles (PBE) data for a geometry-optimized SbSe3Br structure, as listed in Alexandria via LeMat-Bulk.

abc: 5.347 5.347 5.347
angles: 90.00 90.00 90.00
Sites, in units of the cell vectors:
Se: 0.500 0.000 0.000
Se: 0.000 0.500 0.000
Se: 0.000 0.000 0.500
Br: 0.500 0.500 0.500
Sb: 0.000 0.000 0.000

## Properties
Total magnetization: 0.00 μB per cell
Energy relative to the lowest polymorph listed for this composition: 0 meV/atom
SG: No. 221
VASP energy: -13.406 eV for the cell shown

***

# 6
First-principles (PBE) data for a geometry-optimized SbSe2Br structure, as listed in Alexandria via LeMat-Bulk.

abc: 7.635 7.635 6.781
angles: 55.74 55.74 90.00
Sites, in units of the cell vectors:
Br: 0.250 0.750 0.500
Br: 0.500 0.500 0.000
Se: 0.079 0.625 0.250
Se: 0.875 0.921 0.750
Se: 0.375 0.329 0.750
Se: 0.671 0.125 0.250
Sb: 0.000 0.000 0.000
Sb: 0.750 0.250 0.500

## Properties
Total magnetization: 0.00 μB per cell
Energy relative to the lowest polymorph listed for this composition: 305 meV/atom
SG: No. 122
VASP energy: -24.924 eV for the cell shown

***

# 7
First-principles (PBE) data for a geometry-optimized SbSeBr2 structure, as listed in Alexandria via LeMat-Bulk.

abc: 5.069 5.567 5.070
angles: 66.85 82.13 113.14
Sites, in units of the cell vectors:
Br: 0.000 0.000 0.000
Br: 0.500 0.000 0.500
Se: 0.500 0.500 0.000
Sb: 0.000 0.500 0.500

## Properties
Total magnetization: 0.00 μB per cell
Energy relative to the lowest polymorph listed for this composition: 393 meV/atom
SG: No. 69
VASP energy: -10.373 eV for the cell shown

***

# 8
First-principles (PBE) data for a geometry-optimized SbSe2Br structure, as listed in Alexandria via LeMat-Bulk.

abc: 8.933 8.933 8.933
angles: 25.17 25.17 25.17
Each line ends with the local moment (μB).
Sites, in units of the cell vectors:
Se: 0.008 0.008 0.008  0.05
Se: 0.265 0.265 0.265  0.72
Br: 0.487 0.487 0.487  0.10
Sb: 0.740 0.740 0.740  0.08

## Properties
Total magnetization: 1.47 μB per cell
Energy relative to the lowest polymorph listed for this composition: 381 meV/atom
SG: No. 160
VASP energy: -12.159 eV for the cell shown